Entry 1:
# CaIn2OsI GGA-PBE relaxed
# Energy ... -4.133 eV/atom
# DOS(E_F) ... 1.90 states/eV/f.u.
# Uncorrected formation energy ... -0.081 eV/atom
data_CaIn2OsI
_cell_length_a 5.206
_cell_length_b 5.206
_cell_length_c 5.677
_cell_angle_alpha 90.00
_cell_angle_beta 90.00
_cell_angle_gamma 90.00
_space_group_name_H-M_alt 'P 1'
_space_group_IT_number 1
loop_
_space_group_symop_operation_xyz
'x,y,z'
loop_
_atom_site_label
_atom_site_fract_x
_atom_site_fract_y
_atom_site_fract_z
Ca1 0.000 0.000 0.000
In1 0.000 0.500 0.500
In2 0.500 0.000 0.500
Os1 0.000 0.000 0.500
I1 0.500 0.500 0.000

=====

Entry 2:
# Ca2InPdI GGA-PBE relaxed
# Energy ... -2.950 eV/atom
# DOS(E_F) ... 4.63 states/eV/f.u.
# Uncorrected formation energy ... -0.253 eV/atom
data_Ca2InPdI
_cell_length_a 6.046
_cell_length_b 6.046
_cell_length_c 4.956
_cell_angle_alpha 90.00
_cell_angle_beta 90.00
_cell_angle_gamma 90.00
_space_group_name_H-M_alt 'P 1'
_space_group_IT_number 1
loop_
_space_group_symop_operation_xyz
'x,y,z'
loop_
_atom_site_label
_atom_site_fract_x
_atom_site_fract_y
_atom_site_fract_z
Ca1 0.000 0.500 0.000
Ca2 0.500 0.000 0.000
In1 0.000 0.000 0.000
Pd1 0.000 0.000 0.500
I1 0.500 0.500 0.500

=====

Entry 3:
# CaPmInI6 GGA-PBE relaxed
# Energy ... -3.352 eV/atom
# DOS(E_F) ... 0.00 states/eV/f.u.
# Uncorrected formation energy ... -1.264 eV/atom
data_CaPmInI6
_cell_length_a 8.019
_cell_length_b 8.019
_cell_length_c 15.272
_cell_angle_alpha 90.00
_cell_angle_beta 90.00
_cell_angle_gamma 120.00
_space_group_name_H-M_alt 'P 1'
_space_group_IT_number 1
loop_
_space_group_symop_operation_xyz
'x,y,z'
loop_
_atom_site_label
_atom_site_fract_x
_atom_site_fract_y
_atom_site_fract_z
Ca1 0.333 0.667 0.250
Ca2 0.667 0.333 0.750
Pm1 0.333 0.667 0.750
Pm2 0.667 0.333 0.250
In1 0.000 0.000 0.000
In2 0.000 0.000 0.500
I1 0.003 0.363 0.632
I2 0.003 0.640 0.868
I3 0.360 0.363 0.868
I4 0.360 0.997 0.632
I5 0.363 0.003 0.132
I6 0.363 0.360 0.368
I7 0.637 0.640 0.632
I8 0.637 0.997 0.868
I9 0.640 0.003 0.368
I10 0.640 0.637 0.132
I11 0.997 0.360 0.132
I12 0.997 0.637 0.368

=====

Entry 4:
# Rb2CaInI6 GGA-PBE relaxed
# Energy ... -2.770 eV/atom
# DOS(E_F) ... 6.07 states/eV/f.u.
# Uncorrected formation energy ... -1.172 eV/atom
data_Rb2CaInI6
_cell_length_a 8.704
_cell_length_b 8.704
_cell_length_c 8.704
_cell_angle_alpha 60.06
_cell_angle_beta 60.06
_cell_angle_gamma 60.06
_space_group_name_H-M_alt 'P 1'
_space_group_IT_number 1
loop_
_space_group_symop_operation_xyz
'x,y,z'
loop_
_atom_site_label
_atom_site_fract_x
_atom_site_fract_y
_atom_site_fract_z
Rb1 0.000 0.000 0.000
Rb2 0.499 0.499 0.499
Ca1 0.725 0.725 0.725
In1 0.225 0.225 0.225
I1 0.055 0.891 0.463
I2 0.393 0.554 0.966
I3 0.463 0.055 0.891
I4 0.554 0.966 0.393
I5 0.891 0.463 0.055
I6 0.966 0.393 0.554

=====

Entry 5:
# RbCaIn2I8 GGA-PBE relaxed
# Energy ... -2.594 eV/atom
# DOS(E_F) ... 8.32 states/eV/f.u.
# Uncorrected formation energy ... -0.857 eV/atom
data_RbCaIn2I8
_cell_length_a 11.855
_cell_length_b 11.855
_cell_length_c 11.855
_cell_angle_alpha 38.15
_cell_angle_beta 38.15
_cell_angle_gamma 38.15
_space_group_name_H-M_alt 'P 1'
_space_group_IT_number 1
loop_
_space_group_symop_operation_xyz
'x,y,z'
loop_
_atom_site_label
_atom_site_fract_x
_atom_site_fract_y
_atom_site_fract_z
Rb1 0.000 0.000 0.000
Ca1 0.500 0.500 0.500
In1 0.246 0.246 0.246
In2 0.754 0.754 0.754
I1 0.132 0.410 0.790
I2 0.210 0.868 0.590
I3 0.331 0.331 0.331
I4 0.410 0.790 0.132
I5 0.590 0.210 0.868
I6 0.669 0.669 0.669
I7 0.790 0.132 0.410
I8 0.868 0.590 0.210

=====

Entry 6:
# RbCa2InI8 GGA-PBE relaxed
# Energy ... -2.806 eV/atom
# Uncorrected formation energy ... -1.131 eV/atom
data_RbCa2InI8
_cell_length_a 7.226
_cell_length_b 7.625
_cell_length_c 9.751
_cell_angle_alpha 89.95
_cell_angle_beta 89.95
_cell_angle_gamma 88.68
_space_group_name_H-M_alt 'P 1'
_space_group_IT_number 1
loop_
_space_group_symop_operation_xyz
'x,y,z'
loop_
_atom_site_label
_atom_site_fract_x
_atom_site_fract_y
_atom_site_fract_z
Rb1 0.000 0.000 0.000
Ca1 0.500 0.500 0.258
Ca2 0.500 0.500 0.742
In1 0.000 0.000 0.500
I1 0.243 0.848 0.710
I2 0.244 0.849 0.289
I3 0.249 0.338 0.500
I4 0.272 0.378 0.000
I5 0.728 0.622 0.000
I6 0.751 0.662 0.500
I7 0.756 0.151 0.711
I8 0.757 0.152 0.290